(1)
A plane-wave DFT calculation with PBE was carried out for a geometry-optimized Y2Os structure.

V = 22.69 A^3/atom
E_form = 1165 meV per atom
final energy = -6.89 eV per atom

a b c (Å): 5.774 5.774 5.774
angles (deg): 60.00 60.00 60.00
Positions (direct):
1 Y 0.000 0.000 0.000
2 Y 0.000 0.000 0.500
3 Y 0.000 0.500 0.000
4 Y 0.500 0.000 0.000
5 Os 0.375 0.375 0.375
6 Os 0.625 0.625 0.625

***

(2)
A plane-wave DFT calculation with PBE was carried out for a geometry-optimized YOs2 structure.

V = 21.03 A^3/atom
E_form = 1631 meV per atom
final energy = -8.01 eV per atom

a b c (Å): 4.468 4.468 4.468
angles (deg): 60.00 60.00 60.00
Positions (direct):
1 Y 0.000 0.000 0.000
2 Os 0.250 0.250 0.250
3 Os 0.750 0.750 0.750

***

(3)
A plane-wave DFT calculation with PBE was carried out for a geometry-optimized Y2ZnOs structure.

V = 19.78 A^3/atom
E_form = 71 meV per atom
final energy = -6.28 eV per atom

a b c (Å): 4.819 4.819 4.819
angles (deg): 60.00 60.00 60.00
Positions (direct):
1 Y 0.000 0.000 0.000
2 Y 0.250 0.250 0.250
3 Zn 0.500 0.500 0.500
4 Os 0.750 0.750 0.750